# La2In12Ni7

Crystalline La2In12Ni7 at its relaxed geometry (PBE, Alexandria via LeMat-Bulk).

Cell: 10.6128 10.6128 4.3325 Å, 90.00 90.00 120.00°
Space group P-6 (No. 174)
Unique sites:
1 La 0.0000 0.0000 0.0000 [1 per cell]
2 La 0.3333 0.6667 0.5000 [1 per cell]
3 In 0.0624 0.2688 0.5000 [3 per cell]
4 In 0.0945 0.7048 0.0000 [3 per cell]
5 In 0.4430 0.2052 0.0000 [3 per cell]
6 In 0.5221 0.4751 0.5000 [3 per cell]
7 Ni 0.0817 0.4410 0.0000 [3 per cell]
8 Ni 0.2858 0.2164 0.5000 [3 per cell]
9 Ni 0.6667 0.3333 0.5000 [1 per cell]

Properties
DFT total energy, eV per formula unit: -87.9
M_tot, μB/f.u.: 0.000